Entry 1:
# PaGa3Tc2 PBE relaxed
# calculated density = 9.6 Mg/m³
# E_form = -0.210 eV per atom
# size of the total moment = 0.0 μB per formula unit
# density of states at the Fermi level = 0.593 states/eV per atom
# crystal system = monoclinic
data_PaGa3Tc2
_chemical_formula_sum 'Pa4 Ga12 Tc8'
_cell_length_a 9.668
_cell_length_b 9.694
_cell_length_c 5.874
_cell_angle_alpha 90.00
_cell_angle_beta 127.04
_cell_angle_gamma 90.00
_space_group_name_H-M_alt 'C 1 2/c 1'
_space_group_IT_number 15
_space_group_name_Hall '-C 2yc'
loop_
_atom_site_label
_atom_site_type_symbol
_atom_site_fract_x
_atom_site_fract_y
_atom_site_fract_z
_atom_site_occupancy
Pa1 Pa 0.000 0.106 0.250 1
Ga1 Ga 0.000 0.235 0.750 1
Ga2 Ga 0.123 0.421 0.200 1
Tc1 Tc 0.247 0.330 0.724 1

***

Entry 2:
# PaGa2Tc2 PBE relaxed
# calculated density = 9.9 Mg/m³
# E_form = -0.309 eV per atom
# size of the total moment = 0.0 μB per formula unit
# energy above the lowest structure with this stoichiometry = 0.000 eV per atom
# density of states at the Fermi level = 0.550 states/eV per atom
# crystal system = triclinic
data_PaGa2Tc2
_chemical_formula_sum 'Pa2 Ga4 Tc4'
_cell_length_a 4.913
_cell_length_b 6.067
_cell_length_c 7.106
_cell_angle_alpha 85.78
_cell_angle_beta 79.57
_cell_angle_gamma 66.13
_space_group_name_H-M_alt 'P -1'
_space_group_IT_number 2
_space_group_name_Hall '-P 1'
loop_
_atom_site_label
_atom_site_type_symbol
_atom_site_fract_x
_atom_site_fract_y
_atom_site_fract_z
_atom_site_occupancy
Pa1 Pa 0.117 0.267 0.250 1
Ga1 Ga 0.171 0.157 0.749 1
Ga2 Ga 0.436 0.629 0.250 1
Tc1 Tc 0.229 0.765 0.945 1
Tc2 Tc 0.494 0.235 0.444 1

***

Entry 3:
# PaGa2Tc PBE relaxed
# calculated density = 10.4 Mg/m³
# E_form = -0.253 eV per atom
# size of the total moment = 0.0 μB per formula unit
# energy above the lowest structure with this stoichiometry = 0.193 eV per atom
# density of states at the Fermi level = 0.657 states/eV per atom
# crystal system = tetragonal
data_PaGa2Tc
_chemical_formula_sum 'Pa1 Ga2 Tc1'
_cell_length_a 3.931
_cell_length_b 3.931
_cell_length_c 4.818
_cell_angle_alpha 90.00
_cell_angle_beta 90.00
_cell_angle_gamma 90.00
_space_group_name_H-M_alt 'P 4/m m m'
_space_group_IT_number 123
_space_group_name_Hall '-P 4 2'
loop_
_atom_site_label
_atom_site_type_symbol
_atom_site_fract_x
_atom_site_fract_y
_atom_site_fract_z
_atom_site_occupancy
Pa1 Pa 0.000 0.000 0.000 1
Ga1 Ga 0.000 0.500 0.500 1
Tc1 Tc 0.500 0.500 0.000 1

***

Entry 4:
# Pa3Ga8Tc3 PBE relaxed
# calculated density = 10.0 Mg/m³
# E_form = -0.375 eV per atom
# size of the total moment = 0.3 μB per formula unit
# density of states at the Fermi level = 0.678 states/eV per atom
# crystal system = orthorhombic
data_Pa3Ga8Tc3
_chemical_formula_sum 'Pa6 Ga16 Tc6'
_cell_length_a 4.240
_cell_length_b 9.829
_cell_length_c 12.359
_cell_angle_alpha 90.00
_cell_angle_beta 90.00
_cell_angle_gamma 90.00
_space_group_name_H-M_alt 'I m m m'
_space_group_IT_number 71
_space_group_name_Hall '-I 2 2'
loop_
_atom_site_label
_atom_site_type_symbol
_atom_site_fract_x
_atom_site_fract_y
_atom_site_fract_z
_atom_site_occupancy
Pa1 Pa 0.000 0.000 0.000 1
Pa2 Pa 0.000 0.000 0.343 1
Ga1 Ga 0.000 0.276 0.126 1
Ga2 Ga 0.000 0.372 0.328 1
Tc1 Tc 0.000 0.220 0.500 1
Tc2 Tc 0.000 0.500 0.000 1